[1]
Here is an optimized crystal structure of Y2Ta from Alexandria. Energies are from PBE.

Calculated values
The calculation puts the total energy at -7.85 eV/atom. The calculation puts the offset from the most stable computed form at 202 meV/atom. For the formation energy, the calculation gives 1.22 eV/f.u.

abc: 3.2895 3.2895 8.3362
angles: 90.00 90.00 120.00
Last column: nearest neighbours and their distance in Å.
Space group P-3m1 (No. 164)
One atom of each set of equivalent atoms:
Y 0.3333 0.6667 0.3051 [2 per cell]  3 Ta 3.17, 6 Y 3.29
Ta 0.0000 0.0000 0.0000 [1 per cell]  6 Y 3.17, 6 Ta 3.29


[2]
Here is an optimized crystal structure of Y3Ta2 from Alexandria. Energies are from PBE.

Calculated values
The calculation puts the total energy at -8.15 eV/atom. The calculation puts the offset from the most stable computed form at 0 meV/atom. For the formation energy, the calculation gives 2.35 eV/f.u.

abc: 3.2534 3.2534 40.8772
angles: 90.00 90.00 120.00
Last column: nearest neighbours and their distance in Å.
Space group R-3m (No. 166, hexagonal axes)
One atom of each set of equivalent atoms:
Y 0.0000 0.0000 0.0000 [3 per cell]  6 Ta 3.25, 6 Y 3.25
Y 0.0000 0.0000 0.2068 [6 per cell]  3 Ta 3.15, 6 Y 3.25
Ta 0.0000 0.0000 0.3981 [6 per cell]  6 Y 3.15-3.25, 6 Ta 3.25


[3]
Here is an optimized crystal structure of Y2Ta from Alexandria. Energies are from PBE.

Calculated values
The calculation puts the total energy at -7.47 eV/atom. The calculation puts the offset from the most stable computed form at 581 meV/atom. For the formation energy, the calculation gives 2.36 eV/f.u.

abc: 6.6763 6.6763 8.0759
angles: 90.00 90.00 120.00
Last column: nearest neighbours and their distance in Å.
Space group P6_3/mmc (No. 194)
One atom of each set of equivalent atoms:
Y 0.0000 0.0000 0.0000 [2 per cell]  6 Y 2.94
Y 0.1850 0.3699 0.2500 [6 per cell]  4 Y 2.94-2.97, 2 Ta 3.26
Ta 0.3333 0.6667 0.5935 [4 per cell]  1 Ta 2.53


[4]
Here is an optimized crystal structure of Y5Ta from Alexandria. Energies are from PBE.

Calculated values
The calculation puts the total energy at -7.14 eV/atom. The calculation puts the offset from the most stable computed form at 25 meV/atom. For the formation energy, the calculation gives 1.36 eV/f.u.

abc: 4.8643 14.5658 4.8957
angles: 90.00 90.00 90.00
Last column: nearest neighbours and their distance in Å.
Space group Cmmm (No. 65)
One atom of each set of equivalent atoms:
Y 0.0000 0.0000 0.0000 [2 per cell]  8 Y 3.32-3.33, 4 Ta 3.45
Y 0.0000 0.1539 0.5000 [4 per cell]  2 Ta 3.31, 8 Y 3.32-3.69
Y 0.0000 0.3437 0.0000 [4 per cell]  10 Y 3.33-3.69, 2 Ta 3.34
Ta 0.0000 0.5000 0.5000 [2 per cell]  12 Y 3.31-3.45


[5]
Here is an optimized crystal structure of YTa3 from Alexandria. Energies are from PBE.

Calculated values
The calculation puts the total energy at -9.96 eV/atom. The calculation puts the offset from the most stable computed form at 300 meV/atom. For the formation energy, the calculation gives 2.18 eV/f.u.

abc: 4.3710 4.3710 4.3710
angles: 90.00 90.00 90.00
Last column: nearest neighbours and their distance in Å.
Space group Pm-3m (No. 221)
One atom of each set of equivalent atoms:
Y 0.0000 0.0000 0.0000 [1 per cell]  12 Ta 3.09
Ta 0.0000 0.5000 0.5000 [3 per cell]  8 Ta 3.09, 4 Y 3.09


[6]
Here is an optimized crystal structure of Y2Ta from Alexandria. Energies are from PBE.

Calculated values
The calculation puts the total energy at -7.63 eV/atom. The calculation puts the offset from the most stable computed form at 427 meV/atom. For the formation energy, the calculation gives 1.90 eV/f.u.

abc: 5.3515 5.3515 3.1826
angles: 90.00 90.00 90.00
Last column: nearest neighbours and their distance in Å.
Space group P4/mmm (No. 123)
One atom of each set of equivalent atoms:
Y 0.0000 0.5000 0.0000 [2 per cell]  4 Ta 3.11, 2 Y 3.18
Ta 0.0000 0.0000 0.5000 [1 per cell]  8 Y 3.11, 2 Ta 3.18


[7]
Here is an optimized crystal structure of YTa3 from Alexandria. Energies are from PBE.

Calculated values
The calculation puts the total energy at -10.05 eV/atom. The calculation puts the offset from the most stable computed form at 210 meV/atom. For the formation energy, the calculation gives 1.82 eV/f.u.

abc: 6.2894 6.2894 9.9621
angles: 90.00 90.00 120.00
Last column: nearest neighbours and their distance in Å.
Space group P6_3/mmc (No. 194)
One atom of each set of equivalent atoms:
Y 0.0000 0.0000 0.0000 [2 per cell]  12 Ta 3.14-3.22
Y 0.3333 0.6667 0.2500 [2 per cell]  12 Ta 3.08-3.15
Ta 0.0000 0.5000 0.0000 [6 per cell]  8 Ta 3.02-3.14, 4 Y 3.08-3.14
Ta 0.1879 0.3758 0.7500 [6 per cell]  6 Ta 2.74-3.02


[8]
Here is an optimized crystal structure of YTa from Alexandria. Energies are from PBE.

Calculated values
The calculation puts the total energy at -8.76 eV/atom. The calculation puts the offset from the most stable computed form at 221 meV/atom. For the formation energy, the calculation gives 0.80 eV/f.u.

abc: 15.3775 3.1181 6.4404
angles: 90.00 106.11 90.00
Last column: nearest neighbours and their distance in Å.
Space group Cm (No. 8)
One atom of each set of equivalent atoms:
Y 0.0000 0.0000 0.0000 [2 per cell]  4 Y 3.12-3.38, 4 Ta 3.30-3.39
Y 0.0440 0.0000 0.5442 [2 per cell]  4 Ta 3.07-3.15, 4 Y 3.12-3.38
Y 0.3384 0.0000 0.2539 [2 per cell]  2 Y 3.12, 6 Ta 3.16-3.44
Ta 0.1706 0.5000 0.3376 [2 per cell]  3 Ta 2.77-2.95, 2 Y 3.07
Ta 0.1833 0.5000 0.9165 [2 per cell]  3 Ta 2.77-2.84
Ta 0.2854 0.0000 0.6986 [2 per cell]  6 Ta 2.84-3.12


Question: Look up the offset from the most stable computed form of the fifth one.
Answer: 300 meV/atom


Question: offset from the most stable computed form of number 6 (Y2Ta)?
Answer: 427 meV/atom


Question: Which value of offset from the most stable computed form does entry 6 give?
Answer: 427 meV/atom


Question: offset from the most stable computed form of number 8 (YTa)?
Answer: 221 meV/atom